Below is crystalline ReTe2Ir at its relaxed geometry, with properties calculated at the GGA-PBE level.

Summary:
Crystal system: monoclinic
Energy relative to the lowest polymorph listed for this composition in meV per atom: 831.5
E in eV/f.u.: -23.382
N(E_F) in states/eV per atom: 1.050
Formation energy without anion corrections in eV per atom: 1.053

Cell: 5.6558 5.6558 3.0165 Å, 105.44 105.44 113.79°
Last column: nearest neighbours and their distance in Å.
Positions (direct):
Re: 0.0000 0.0000 0.0000  4 Te 2.83, 2 Re 3.02, 4 Ir 3.09
Te: 0.0000 0.5000 0.5000  2 Re 2.83, 2 Ir 2.83, 6 Te 3.02-3.09
Te: 0.5000 0.0000 0.5000  2 Re 2.83, 2 Ir 2.83, 6 Te 3.02-3.09
Ir: 0.5000 0.5000 0.0000  4 Te 2.83, 2 Ir 3.02, 4 Re 3.09